Record 1
# Tb2MgPd9 | the Alexandria database | PBE | relaxed
data_Tb2MgPd9
_chemical_formula_sum 'Tb2 Mg1 Pd9'
_symmetry_space_group_name_H-M 'P 4/m m m'
_symmetry_Int_Tables_number 123
_symmetry_space_group_name_Hall '-P 4 2'
_cell_length_a 4.1015
_cell_length_b 4.1015
_cell_length_c 12.1182
_cell_angle_alpha 90.00
_cell_angle_beta 90.00
_cell_angle_gamma 90.00
loop_
_atom_site_label
_atom_site_type_symbol
_atom_site_fract_x
_atom_site_fract_y
_atom_site_fract_z
_atom_site_occupancy
Tb1 Tb 0.0000 0.0000 0.1731 1
Mg1 Mg 0.0000 0.0000 0.5000 1
Pd1 Pd 0.0000 0.5000 0.0000 1
Pd2 Pd 0.0000 0.5000 0.3430 1
Pd3 Pd 0.5000 0.5000 0.1702 1
Pd4 Pd 0.5000 0.5000 0.5000 1
# Energy of formation from the pure elements = -0.73 eV/atom
# Total energy = -0.406 Ry/atom
# N(E_F) = 10.3 states/eV/cell

Record 2
# TbMg4Pd5 | the Alexandria database | PBE | relaxed
data_TbMg4Pd5
_chemical_formula_sum 'Tb1 Mg4 Pd5'
_symmetry_space_group_name_H-M 'P 4/m m m'
_symmetry_Int_Tables_number 123
_symmetry_space_group_name_Hall '-P 4 2'
_cell_length_a 3.2837
_cell_length_b 3.2837
_cell_length_c 16.0699
_cell_angle_alpha 90.00
_cell_angle_beta 90.00
_cell_angle_gamma 90.00
loop_
_atom_site_label
_atom_site_type_symbol
_atom_site_fract_x
_atom_site_fract_y
_atom_site_fract_z
_atom_site_occupancy
Tb1 Tb 0.0000 0.0000 0.0000 1
Mg1 Mg 0.0000 0.0000 0.2132 1
Mg2 Mg 0.0000 0.0000 0.4045 1
Pd1 Pd 0.5000 0.5000 0.1167 1
Pd2 Pd 0.5000 0.5000 0.3082 1
Pd3 Pd 0.5000 0.5000 0.5000 1
# Energy of formation from the pure elements = -0.75 eV/atom
# Total energy = -0.327 Ry/atom
# N(E_F) = 2.3 states/eV/cell

Copy entry 1 word for word.
# Tb2MgPd9 | the Alexandria database | PBE | relaxed
data_Tb2MgPd9
_chemical_formula_sum 'Tb2 Mg1 Pd9'
_symmetry_space_group_name_H-M 'P 4/m m m'
_symmetry_Int_Tables_number 123
_symmetry_space_group_name_Hall '-P 4 2'
_cell_length_a 4.1015
_cell_length_b 4.1015
_cell_length_c 12.1182
_cell_angle_alpha 90.00
_cell_angle_beta 90.00
_cell_angle_gamma 90.00
loop_
_atom_site_label
_atom_site_type_symbol
_atom_site_fract_x
_atom_site_fract_y
_atom_site_fract_z
_atom_site_occupancy
Tb1 Tb 0.0000 0.0000 0.1731 1
Mg1 Mg 0.0000 0.0000 0.5000 1
Pd1 Pd 0.0000 0.5000 0.0000 1
Pd2 Pd 0.0000 0.5000 0.3430 1
Pd3 Pd 0.5000 0.5000 0.1702 1
Pd4 Pd 0.5000 0.5000 0.5000 1
# Energy of formation from the pure elements = -0.73 eV/atom
# Total energy = -0.406 Ry/atom
# N(E_F) = 10.3 states/eV/cell

> energy of formation from the pure elements of number 2 (TbMg4Pd5)?

-0.75 eV/atom